A plane-wave DFT calculation with GGA+U was carried out for an optimized crystal structure of RbBa2Co2O6.

```
RbBa2Co2O6
1.0
6.009 0.000 0.000
3.004 5.204 0.000
3.004 1.735 7.299
Rb Ba Co O
1 2 2 6
Direct
0.000 0.000 0.000
0.800 0.800 0.600
0.200 0.200 0.400
0.432 0.432 0.703
0.568 0.568 0.297
0.729 0.729 0.311
0.231 0.729 0.311
0.729 0.231 0.311
0.271 0.769 0.689
0.769 0.271 0.689
0.271 0.271 0.689
```

Calculated values
Its electronic total energy is -5.6188 eV/atom. The space-group type is R-3m.



A plane-wave DFT calculation with GGA+U was carried out for an optimized crystal structure of BaCoRe2O8.

```
BaCoRe2O8
1.0
-1.116 2.486 -4.618
-1.396 -3.515 -3.801
-7.557 0.576 1.641
Ba Co Re O
1 1 2 8
Direct
0.000 0.000 0.500
0.000 0.000 0.000
0.629 0.629 0.221
0.371 0.371 0.779
0.728 0.226 0.799
0.779 0.779 0.058
0.694 0.694 0.435
0.306 0.306 0.565
0.221 0.221 0.942
0.226 0.728 0.799
0.774 0.272 0.201
0.272 0.774 0.201
```

Calculated values
Its electronic total energy is -7.6469 eV/atom. The space-group type is C2/m.



A plane-wave DFT calculation with GGA+U was carried out for an optimized crystal structure of Ba4CoRe2O12.

```
Ba4CoRe2O12
1.0
-2.853 -4.322 -8.534
0.564 -8.104 -5.802
-4.973 -7.551 -4.231
Ba Co Re O
4 1 2 12
Direct
0.708 0.708 0.708
0.292 0.292 0.292
0.869 0.869 0.869
0.131 0.131 0.131
0.000 0.000 0.000
0.581 0.581 0.581
0.419 0.419 0.419
0.219 0.692 0.219
0.219 0.219 0.692
0.692 0.219 0.219
0.781 0.308 0.781
0.781 0.781 0.308
0.308 0.781 0.781
0.390 0.859 0.390
0.390 0.390 0.859
0.859 0.390 0.390
0.610 0.141 0.610
0.610 0.610 0.141
0.141 0.610 0.610
```

Calculated values
Its electronic total energy is -7.3145 eV/atom. The space-group type is R-3m.



A plane-wave DFT calculation with GGA+U was carried out for an optimized crystal structure of BaCoReO6.

```
BaCoReO6
1.0
-1.231 3.746 -3.311
-0.627 -1.082 -4.994
-5.585 -1.020 0.922
Ba Co Re O
1 1 1 6
Direct
0.000 0.000 0.000
0.667 0.667 0.500
0.333 0.333 0.500
0.003 0.390 0.314
0.390 0.003 0.686
0.607 0.390 0.686
0.003 0.607 0.686
0.390 0.607 0.314
0.607 0.003 0.314
```

Calculated values
Its electronic total energy is -7.2249 eV/atom. The space-group type is P312.



A plane-wave DFT calculation with GGA+U was carried out for an optimized crystal structure of Ba2CoReO6.

```
Ba2CoReO6
1.0
5.800 0.000 0.000
2.900 5.023 0.000
2.900 1.674 4.736
Ba Co Re O
2 1 1 6
Direct
0.250 0.250 0.250
0.750 0.750 0.750
0.000 0.000 0.000
0.500 0.500 0.500
0.265 0.735 0.265
0.735 0.265 0.265
0.735 0.735 0.265
0.265 0.735 0.735
0.265 0.265 0.735
0.735 0.265 0.735
```

Calculated values
Its electronic total energy is -7.1680 eV/atom. The space-group type is Fm-3m.



A plane-wave DFT calculation with GGA+U was carried out for an optimized crystal structure of Ba2CoRhO5.

```
Ba2CoRhO5
1.0
-2.998 1.742 0.046
-0.182 -3.584 -6.871
-4.773 -8.329 4.470
Ba Co Rh O
4 2 2 10
Direct
0.874 0.748 0.806
0.120 0.241 0.683
0.126 0.252 0.306
0.880 0.759 0.183
0.572 0.144 0.957
0.428 0.856 0.457
0.795 0.589 0.513
0.205 0.411 0.013
0.338 0.676 0.000
0.695 0.391 0.890
0.509 0.018 0.807
0.294 0.589 0.632
0.939 0.879 0.536
0.662 0.324 0.500
0.305 0.609 0.390
0.491 0.982 0.307
0.706 0.411 0.132
0.061 0.121 0.036
```

Calculated values
Its electronic total energy is -6.1846 eV/atom. The space-group type is Cmc2_1.



A plane-wave DFT calculation with GGA+U was carried out for an optimized crystal structure of BaCo3Rh4O12.

```
BaCo3Rh4O12
1.0
6.561 0.000 0.000
-2.187 6.186 0.000
-2.187 -3.093 5.357
Ba Co Rh O
1 3 4 12
Direct
0.000 0.000 0.000
0.000 0.500 0.500
0.500 0.500 0.000
0.500 0.000 0.500
0.500 0.000 0.000
0.500 0.500 0.500
0.000 0.500 0.000
0.000 0.000 0.500
0.323 0.825 0.148
0.677 0.175 0.852
0.677 0.825 0.502
0.852 0.677 0.175
0.825 0.148 0.323
0.175 0.498 0.323
0.498 0.323 0.175
0.175 0.852 0.677
0.323 0.175 0.498
0.148 0.323 0.825
0.825 0.502 0.677
0.502 0.677 0.825
```

Calculated values
Its electronic total energy is -6.3064 eV/atom. The space-group type is Im-3.



A plane-wave DFT calculation with GGA+U was carried out for an optimized crystal structure of BaCoRhO6.

```
BaCoRhO6
1.0
-3.608 -3.075 -1.953
-3.283 -2.414 3.126
-3.567 4.419 -0.348
Ba Co Rh O
1 1 1 6
Direct
0.000 0.000 0.000
0.664 0.669 0.500
0.334 0.333 0.500
0.988 0.406 0.310
0.407 0.987 0.690
0.606 0.405 0.691
0.987 0.606 0.690
0.408 0.606 0.310
0.606 0.989 0.308
```

Calculated values
Its electronic total energy is -6.0157 eV/atom. The space-group type is P1.